Record 1
## LiPu2S4 (GGA-PBE)

Data for a relaxed structure of LiPu2S4.

a b c (Å): 7.9622 7.9622 13.8304
angles (deg): 106.74 106.74 60.00
Sites, in units of the cell vectors:
1 Li 0.0624 0.0624 0.1866
2 Li 0.4375 0.4375 0.3129
3 Li 0.5625 0.5625 0.6871
4 Li 0.9376 0.9376 0.8134
5 Pu 0.0000 0.0000 0.5000
6 Pu 0.0000 0.5000 0.0000
7 Pu 0.0000 0.5000 0.5000
8 Pu 0.2495 0.2495 0.7486
9 Pu 0.5000 0.0000 0.0000
10 Pu 0.5000 0.0000 0.5000
11 Pu 0.5000 0.5000 0.0000
12 Pu 0.7505 0.7505 0.2514
13 S 0.1040 0.6379 0.3799
14 S 0.1294 0.1294 0.3881
15 S 0.1371 0.1371 0.8802
16 S 0.1370 0.6060 0.8803
17 S 0.3620 0.3620 0.6201
18 S 0.3621 0.8960 0.6201
19 S 0.3705 0.3705 0.1118
20 S 0.3940 0.8630 0.1197
21 S 0.6060 0.1370 0.8803
22 S 0.6295 0.6295 0.8882
23 S 0.6379 0.1040 0.3799
24 S 0.6380 0.6380 0.3799
25 S 0.8630 0.3940 0.1197
26 S 0.8629 0.8629 0.1198
27 S 0.8706 0.8706 0.6119
28 S 0.8960 0.3621 0.6201

Output
The calculation puts the uncorrected formation energy at -1.4799 eV/atom. The value obtained for the calculated volume is 25.575 Å³ per atom. As for the density of states at the Fermi level: 20.77 states/eV/f.u. For the spin magnetization, the calculation gives 2.30 μB/f.u. As for the total energy: -0.6032 Ry per atom. Its energy relative to the lowest polymorph listed for this composition is 0.000 eV/atom.

=====

Record 2
## TlRuC3 (GGA-PBE)

Data for a relaxed structure of TlRuC3.

a b c (Å): 4.2546 4.2546 4.2546
angles (deg): 90.00 90.00 90.00
Sites, in units of the cell vectors:
1 Tl 0.0000 0.0000 0.0000
2 Ru 0.5000 0.5000 0.5000
3 C 0.0000 0.0000 0.5000
4 C 0.0000 0.5000 0.0000
5 C 0.5000 0.0000 0.0000

Output
The value obtained for the calculated volume is 15.404 Å³ per atom. As for the density of states at the Fermi level: 5.92 states/eV/f.u. For the spin magnetization, the calculation gives 0.00 μB/f.u. As for the total energy: -0.2907 Ry per atom. Its energy relative to the lowest polymorph listed for this composition is 1.905 eV/atom.

=====

Record 3
## SrAc7 (GGA-PBE)

Data for a relaxed structure of SrAc7.

a b c (Å): 8.0291 8.0291 8.0291
angles (deg): 60.00 60.00 60.00
Sites, in units of the cell vectors:
1 Sr 0.0000 0.0000 0.0000
2 Ac 0.0000 0.0000 0.5000
3 Ac 0.0000 0.5000 0.0000
4 Ac 0.0000 0.5000 0.5000
5 Ac 0.5000 0.0000 0.0000
6 Ac 0.5000 0.0000 0.5000
7 Ac 0.5000 0.5000 0.0000
8 Ac 0.5000 0.5000 0.5000

Output
The value obtained for the calculated volume is 45.750 Å³ per atom. As for the density of states at the Fermi level: 11.18 states/eV/f.u. For the spin magnetization, the calculation gives 0.00 μB/f.u. As for the total energy: -0.2776 Ry per atom.

=====

Record 4
## Rb2ZnTe2 (GGA-PBE)

Data for a relaxed structure of Rb2ZnTe2.

a b c (Å): 11.5709 11.5709 8.1935
angles (deg): 90.00 90.00 157.27
Sites, in units of the cell vectors:
1 Rb 0.0257 0.9743 0.5000
2 Rb 0.1993 0.8007 0.2751
3 Rb 0.8007 0.1993 0.7751
4 Rb 0.9743 0.0257 0.0000
5 Zn 0.3686 0.6314 0.4102
6 Zn 0.6314 0.3686 0.9102
7 Te 0.1649 0.8351 0.7605
8 Te 0.4207 0.5793 0.6858
9 Te 0.5793 0.4207 0.1858
10 Te 0.8351 0.1649 0.2605

Output
The calculation puts the uncorrected formation energy at -0.8186 eV/atom. The value obtained for the calculated volume is 42.395 Å³ per atom. For the spin magnetization, the calculation gives 0.00 μB/f.u. As for the total energy: -0.1997 Ry per atom.

=====

Record 5
## NaTcSb2 (GGA-PBE)

Data for a relaxed structure of NaTcSb2.

a b c (Å): 4.8237 4.8237 4.8237
angles (deg): 60.00 60.00 60.00
Sites, in units of the cell vectors:
1 Na 0.0000 0.0000 0.0000
2 Tc 0.5000 0.5000 0.5000
3 Sb 0.2500 0.2500 0.2500
4 Sb 0.7500 0.7500 0.7500

Output
The calculation puts the uncorrected formation energy at 0.1450 eV/atom. The value obtained for the calculated volume is 19.841 Å³ per atom. As for the density of states at the Fermi level: 1.88 states/eV/f.u. For the spin magnetization, the calculation gives 0.00 μB/f.u. As for the total energy: -0.3555 Ry per atom. Its energy relative to the lowest polymorph listed for this composition is 0.303 eV/atom.

=====

Record 6
## Cu2SbAuSe4 (GGA-PBE)

Data for a relaxed structure of Cu2SbAuSe4.

a b c (Å): 7.1090 7.1090 7.1090
angles (deg): 131.29 131.29 71.36
Sites, in units of the cell vectors:
1 Cu 0.2500 0.7500 0.5000
2 Cu 0.7500 0.2500 0.5000
3 Sb 0.0000 0.0000 0.0000
4 Au 0.5000 0.5000 0.0000
5 Se 0.1127 0.1127 0.5056
6 Se 0.3929 0.8873 0.0000
7 Se 0.6071 0.6071 0.4944
8 Se 0.8873 0.3929 0.0000

Output
The calculation puts the uncorrected formation energy at -0.1200 eV/atom. The value obtained for the calculated volume is 24.818 Å³ per atom. As for the density of states at the Fermi level: 3.07 states/eV/f.u. For the spin magnetization, the calculation gives 0.00 μB/f.u. As for the total energy: -0.2801 Ry per atom.

=====

Record 7
## TaTiMnRh (GGA-PBE)

Data for a relaxed structure of TaTiMnRh.

a b c (Å): 3.0364 3.0364 6.3458
angles (deg): 90.00 90.00 90.00
Sites, in units of the cell vectors:
1 Ta 0.0000 0.0000 0.0000
2 Ti 0.0000 0.0000 0.5362
3 Mn 0.5000 0.5000 0.7624
4 Rh 0.5000 0.5000 0.2792

Output
The value obtained for the calculated volume is 14.627 Å³ per atom. As for the density of states at the Fermi level: 3.08 states/eV/f.u. For the spin magnetization, the calculation gives 0.00 μB/f.u. As for the total energy: -0.6998 Ry per atom. Its energy relative to the lowest polymorph listed for this composition is 0.000 eV/atom.

=====

Record 8
## BaNaGa2 (GGA-PBE)

Data for a relaxed structure of BaNaGa2.

a b c (Å): 5.4726 5.4726 5.4726
angles (deg): 60.00 60.00 60.00
Sites, in units of the cell vectors:
1 Ba 0.0000 0.0000 0.0000
2 Na 0.5000 0.5000 0.5000
3 Ga 0.2500 0.2500 0.2500
4 Ga 0.7500 0.7500 0.7500

Output
The value obtained for the calculated volume is 28.974 Å³ per atom. As for the density of states at the Fermi level: 3.09 states/eV/f.u. For the spin magnetization, the calculation gives 0.00 μB/f.u. As for the total energy: -0.1811 Ry per atom. Its energy relative to the lowest polymorph listed for this composition is 0.111 eV/atom.

=====

> calculated volume of number 3 (SrAc7)?

45.750 Å³ per atom